i:
Computed, not measured: an optimized crystal structure of CaCuIO2 at the PBE level of DFT.

Geometry as CIF:
```
data_CaCuIO2
_symmetry_space_group_name_H-M 'P 4/m m m'
_symmetry_Int_Tables_number 123
_symmetry_space_group_name_Hall '-P 4 2'
_cell_length_a 4.275
_cell_length_b 4.275
_cell_length_c 6.805
_cell_angle_alpha 90.00
_cell_angle_beta 90.00
_cell_angle_gamma 90.00
loop_
_atom_site_label
_atom_site_type_symbol
_atom_site_fract_x
_atom_site_fract_y
_atom_site_fract_z
Ca1 Ca 0.000 0.000 0.000
Cu1 Cu 0.500 0.500 0.500
I1 I 0.000 0.000 0.500
O1 O 0.000 0.500 0.000
```

Calculated values
Total moment (μB per atom): 0.38
Calculated volume (Å³/f.u.): 124.4

ii:
Computed, not measured: an optimized crystal structure of CaCuIO2 at the PBE level of DFT.

Geometry as CIF:
```
data_CaCuIO2
_symmetry_space_group_name_H-M 'P 4/m m m'
_symmetry_Int_Tables_number 123
_symmetry_space_group_name_Hall '-P 4 2'
_cell_length_a 4.182
_cell_length_b 4.182
_cell_length_c 5.028
_cell_angle_alpha 90.00
_cell_angle_beta 90.00
_cell_angle_gamma 90.00
loop_
_atom_site_label
_atom_site_type_symbol
_atom_site_fract_x
_atom_site_fract_y
_atom_site_fract_z
Ca1 Ca 0.000 0.000 0.000
Cu1 Cu 0.500 0.500 0.500
I1 I 0.500 0.500 0.000
O1 O 0.000 0.500 0.500
```

Calculated values
Total moment (μB per atom): 0.13
Calculated volume (Å³/f.u.): 87.9

In eV/atom, relative to the most stable structure: i 0.195; ii 0.000.

i:
Computed, not measured: an optimized crystal structure of CaCuI2O at the PBE level of DFT.

Geometry as CIF:
```
data_CaCuI2O
_symmetry_space_group_name_H-M 'P 4/m m m'
_symmetry_Int_Tables_number 123
_symmetry_space_group_name_Hall '-P 4 2'
_cell_length_a 5.657
_cell_length_b 5.657
_cell_length_c 3.791
_cell_angle_alpha 90.00
_cell_angle_beta 90.00
_cell_angle_gamma 90.00
loop_
_atom_site_label
_atom_site_type_symbol
_atom_site_fract_x
_atom_site_fract_y
_atom_site_fract_z
Ca1 Ca 0.000 0.000 0.000
Cu1 Cu 0.500 0.500 0.500
I1 I 0.000 0.500 0.500
O1 O 0.500 0.500 0.000
```

Calculated values
Total moment (μB per atom): 0.12
Calculated volume (Å³/f.u.): 121.3

ii:
Computed, not measured: an optimized crystal structure of CaCuI2O at the PBE level of DFT.

Geometry as CIF:
```
data_CaCuI2O
_symmetry_space_group_name_H-M 'P 4/m m m'
_symmetry_Int_Tables_number 123
_symmetry_space_group_name_Hall '-P 4 2'
_cell_length_a 6.111
_cell_length_b 6.111
_cell_length_c 4.282
_cell_angle_alpha 90.00
_cell_angle_beta 90.00
_cell_angle_gamma 90.00
loop_
_atom_site_label
_atom_site_type_symbol
_atom_site_fract_x
_atom_site_fract_y
_atom_site_fract_z
Ca1 Ca 0.000 0.000 0.000
Cu1 Cu 0.500 0.500 0.500
I1 I 0.000 0.500 0.000
O1 O 0.000 0.000 0.500
```

Calculated values
Total moment (μB per atom): 0.21
Calculated volume (Å³/f.u.): 159.9

In eV/atom, relative to the most stable structure: i 0.000; ii 0.312.

i:
Computed, not measured: an optimized crystal structure of CaCu2OsI at the PBE level of DFT.

Geometry as CIF:
```
data_CaCu2OsI
_symmetry_space_group_name_H-M 'P 4/m m m'
_symmetry_Int_Tables_number 123
_symmetry_space_group_name_Hall '-P 4 2'
_cell_length_a 4.741
_cell_length_b 4.741
_cell_length_c 5.762
_cell_angle_alpha 90.00
_cell_angle_beta 90.00
_cell_angle_gamma 90.00
loop_
_atom_site_label
_atom_site_type_symbol
_atom_site_fract_x
_atom_site_fract_y
_atom_site_fract_z
Ca1 Ca 0.000 0.000 0.000
Cu1 Cu 0.000 0.500 0.500
Os1 Os 0.000 0.000 0.500
I1 I 0.500 0.500 0.000
```

Calculated values
Total moment (μB per atom): 0.28
Calculated volume (Å³/f.u.): 129.5

ii:
Computed, not measured: an optimized crystal structure of CaCu2OsI at the PBE level of DFT.

Geometry as CIF:
```
data_CaCu2OsI
_symmetry_space_group_name_H-M 'P 4/m m m'
_symmetry_Int_Tables_number 123
_symmetry_space_group_name_Hall '-P 4 2'
_cell_length_a 4.808
_cell_length_b 4.808
_cell_length_c 5.739
_cell_angle_alpha 90.00
_cell_angle_beta 90.00
_cell_angle_gamma 90.00
loop_
_atom_site_label
_atom_site_type_symbol
_atom_site_fract_x
_atom_site_fract_y
_atom_site_fract_z
Ca1 Ca 0.000 0.000 0.000
Cu1 Cu 0.000 0.500 0.500
Os1 Os 0.500 0.500 0.000
I1 I 0.000 0.000 0.500
```

Calculated values
Total moment (μB per atom): 0.31
Calculated volume (Å³/f.u.): 132.7

In eV/atom, relative to the most stable structure: i 0.000; ii 0.804.